Entry 1:
PBE-GGA CsHfCd, optimized geometry; crystal system = cubic; polymorph energy (0 for the lowest one) = 0 meV per atom; magnetization = 0.0 μB per formula unit; uncorrected energy = -2.62 eV per atom
1.0
0.3959 -3.9917 3.4051
-3.9145 -3.4896 0.4296
0.6490 -4.9127 -1.7692
Cd Hf Cs
1 1 1
direct
0.2500 0.2500 0.2500 Cd
0.0000 0.0000 0.0000 Hf
0.7500 0.7500 0.7500 Cs



Entry 2:
PBE-GGA PmZnB, optimized geometry; crystal system = cubic; polymorph energy (0 for the lowest one) = 0 meV per atom; magnetization = 0.0 μB per formula unit; uncorrected energy = -4.31 eV per atom
1.0
1.6575 3.1986 2.2988
-1.7225 1.0373 3.7709
2.1132 -0.8405 3.6181
Pm B Zn
1 1 1
direct
0.2500 0.2500 0.2500 Pm
0.0000 0.0000 0.0000 B
0.7500 0.7500 0.7500 Zn



Entry 3:
PBE-GGA LaTc4O12, optimized geometry; crystal system = cubic; magnetization = 0.0 μB per formula unit; uncorrected energy = -7.90 eV per atom
1.0
-4.0832 -5.0941 -1.0752
1.4400 0.3494 6.4484
-2.9288 5.6160 -1.9132
O Tc La
12 4 1
direct
0.2451 0.2444 0.4894 O
0.2444 0.4894 0.2451 O
0.9993 0.7549 0.2444 O
0.4894 0.2451 0.2444 O
0.7549 0.7556 0.5106 O
0.7556 0.0007 0.2451 O
0.2451 0.7556 0.0007 O
0.5106 0.7549 0.7556 O
0.2444 0.9993 0.7549 O
0.7549 0.2444 0.9993 O
0.0007 0.2451 0.7556 O
0.7556 0.5106 0.7549 O
0.5000 0.5000 0.5000 Tc
0.0000 0.5000 0.0000 Tc
0.0000 0.0000 0.5000 Tc
0.5000 0.0000 0.0000 Tc
0.0000 0.0000 0.0000 La



Entry 4:
PBE-GGA Dy3Y3ReTe2, optimized geometry; crystal system = hexagonal; polymorph energy (0 for the lowest one) = 0 meV per atom; magnetization = 0.1 μB per formula unit; uncorrected energy = -6.40 eV per atom
1.0
8.2724 0.0000 0.0000
-4.1362 7.1641 0.0000
0.0000 0.0000 4.1427
Dy Y Re Te
3 3 1 2
direct
0.7623 0.7623 0.5000 Dy
0.0000 0.2377 0.5000 Dy
0.2378 0.0000 0.5000 Dy
0.6090 0.0000 0.0000 Y
0.3910 0.3910 0.0000 Y
0.0000 0.6090 0.0000 Y
0.0000 0.0000 0.0000 Re
0.6667 0.3333 0.5000 Te
0.3333 0.6667 0.5000 Te



Entry 5:
PBE-GGA Rb4Ag2SbAs, optimized geometry; crystal system = orthorhombic; uncorrected energy = -2.66 eV per atom
1.0
-1.8129 4.5783 -4.2453
-5.8162 -3.3526 -1.1319
-1.3256 4.2507 5.1501
Rb As Sb Ag
4 1 1 2
direct
0.5000 0.8217 0.4896 Rb
0.5000 0.4896 0.8217 Rb
0.0000 0.1820 0.5318 Rb
0.0000 0.5318 0.1820 Rb
0.0000 0.7433 0.7433 As
0.5000 0.2476 0.2476 Sb
0.2357 0.9921 0.9921 Ag
0.7643 0.9921 0.9921 Ag



Entry 6:
PBE-GGA Hf2ScPd, optimized geometry; crystal system = cubic; energy of formation = -0.09 eV/atom; magnetization = 1.7 μB per formula unit; uncorrected energy = -7.95 eV per atom
1.0
-3.6548 2.2675 2.1617
-2.2558 -2.0685 3.7155
0.5557 1.7708 4.4416
Sc Pd Hf
1 1 2
direct
0.0000 0.0000 0.0000 Sc
0.2500 0.2500 0.2500 Pd
0.7500 0.7500 0.7500 Hf
0.5000 0.5000 0.5000 Hf



no.,V (Å³/f.u.)
1,103.0
2,55.2
3,223.0
4,245.5
5,290.4
6,78.9